1.
{
  "formula": "Sr2MnCo2",
  "functional": "PBE-GGA",
  "state": "relaxed",
  "lattice": [[8.2962, 0.0000, 0.0000], [0.0000, 8.2962, 0.0000], [0.0000, 0.0000, 3.1448]],
  "species": ["Co", "Mn", "Sr", "Sr", "Sr", "Co", "Co", "Mn", "Co", "Sr"],
  "fractional_positions": [[0.6694, 0.8306, 0.5000], [0.5000, 0.5000, 0.0000], [0.1399, 0.3601, 0.0000], [0.6399, 0.1399, 0.0000], [0.8601, 0.6399, 0.0000], [0.8306, 0.3306, 0.5000], [0.1694, 0.6694, 0.5000], [0.0000, 0.0000, 0.0000], [0.3306, 0.1694, 0.5000], [0.3601, 0.8601, 0.0000]],
  "rho_kg_m3": 5340,
  "de_polymorph_ev_per_atom": 0.836,
  "e_form_ev_per_fu": 7.301,
  "space_group": "P4/mbm",
  "magnetic_moment_mub_per_cell": 4.274
}



2.
{
  "formula": "SrMnCo",
  "functional": "PBE-GGA",
  "state": "relaxed",
  "lattice": [[3.8569, -0.0107, 0.0000], [-1.8717, 10.3756, 0.1016], [-1.9279, 0.3143, 3.3249]],
  "species": ["Co", "Mn", "Sr", "Co", "Mn", "Sr"],
  "fractional_positions": [[0.4935, 0.1797, 0.9442], [0.1218, 0.0647, 0.3136], [0.6848, 0.7572, 0.7440], [0.4166, 0.9497, 0.0166], [0.7884, 0.0647, 0.6471], [0.8922, 0.3723, 0.5507]],
  "rho_kg_m3": 5036,
  "de_polymorph_ev_per_atom": 0.083,
  "e_form_ev_per_fu": 1.013,
  "space_group": "P1",
  "magnetic_moment_mub_per_cell": 0.000
}



3.
{
  "formula": "SrMnCo",
  "functional": "PBE-GGA",
  "state": "relaxed",
  "lattice": [[-5.7121, -1.2064, -2.3170], [0.3028, -1.7442, 3.5381], [-6.1965, 3.2179, 2.1182]],
  "species": ["Sr", "Co", "Mn", "Mn", "Co", "Sr"],
  "fractional_positions": [[0.4644, 0.8279, 0.4396], [0.9700, 0.5809, 0.3386], [0.9700, 0.0809, 0.4948], [0.9698, 0.0807, 0.8787], [0.9698, 0.5805, 0.0350], [0.4754, 0.3335, 0.9340]],
  "rho_kg_m3": 4915,
  "de_polymorph_ev_per_atom": 0.238,
  "e_form_ev_per_fu": 1.476,
  "space_group": "Immm",
  "magnetic_moment_mub_per_cell": 6.715
}



4.
{
  "formula": "SrMnCo2",
  "functional": "PBE-GGA",
  "state": "relaxed",
  "lattice": [[5.8668, -0.2113, -0.1310], [4.5736, 3.6804, -0.1310], [4.5736, 1.5197, 3.3546]],
  "species": ["Co", "Co", "Sr", "Mn"],
  "fractional_positions": [[0.5642, 0.5642, 0.5642], [0.9358, 0.9358, 0.9358], [0.7500, 0.7500, 0.7500], [0.2500, 0.2500, 0.2500]],
  "rho_kg_m3": 5526,
  "de_polymorph_ev_per_atom": 0.015,
  "e_form_ev_per_fu": 1.035,
  "space_group": "R-3m",
  "magnetic_moment_mub_per_cell": 4.916
}



5.
{
  "formula": "SrMnCo",
  "functional": "PBE-GGA",
  "state": "relaxed",
  "lattice": [[-5.4242, 3.9746, 2.7296], [-2.4266, -3.0650, -0.3590], [2.1350, -2.6371, 8.0825]],
  "species": ["Sr", "Mn", "Sr", "Mn", "Mn", "Sr", "Co", "Co", "Co", "Co", "Mn", "Sr"],
  "fractional_positions": [[0.5006, 0.2500, 0.6905], [0.3628, 0.2500, 0.0472], [0.9994, 0.7500, 0.1905], [0.1372, 0.7500, 0.5472], [0.6372, 0.7500, 0.9528], [0.4994, 0.7500, 0.3095], [0.6647, 0.2500, 0.0576], [0.1647, 0.2500, 0.4424], [0.3353, 0.7500, 0.9424], [0.8353, 0.7500, 0.5576], [0.8628, 0.2500, 0.4528], [0.0006, 0.2500, 0.8095]],
  "rho_kg_m3": 5359,
  "de_polymorph_ev_per_atom": 0.257,
  "e_form_ev_per_fu": 1.534,
  "space_group": "Pnma",
  "magnetic_moment_mub_per_cell": 0.001
}



6.
{
  "formula": "SrMnCo",
  "functional": "PBE-GGA",
  "state": "relaxed",
  "lattice": [[-3.0181, 1.7872, 2.0480], [-2.6506, -2.6130, -1.6261], [1.2399, -5.2410, 6.4009]],
  "species": ["Mn", "Co", "Mn", "Co", "Sr", "Sr"],
  "fractional_positions": [[0.5000, 0.5000, 0.5000], [0.5000, 0.0000, 0.6254], [0.0000, 0.0000, 0.5000], [0.0000, 0.5000, 0.3746], [0.5000, 0.0000, 0.1968], [0.0000, 0.5000, 0.8032]],
  "rho_kg_m3": 4849,
  "de_polymorph_ev_per_atom": 0.040,
  "e_form_ev_per_fu": 0.883,
  "space_group": "P4/nmm",
  "magnetic_moment_mub_per_cell": 4.132
}



7.
{
  "formula": "SrMnCo",
  "functional": "PBE-GGA",
  "state": "relaxed",
  "lattice": [[5.2997, -0.0014, -0.0009], [0.0142, 8.5801, 0.0041], [2.6470, -0.0899, 3.0375]],
  "species": ["Sr", "Co", "Mn", "Co", "Mn", "Sr"],
  "fractional_positions": [[0.5115, 0.7664, 0.5080], [0.9755, 0.9506, 0.5787], [0.0431, 0.0647, 0.0075], [0.5477, 0.1789, 0.4382], [0.4800, 0.0648, 0.0094], [0.0116, 0.3631, 0.5091]],
  "rho_kg_m3": 4844,
  "de_polymorph_ev_per_atom": 0.065,
  "e_form_ev_per_fu": 0.958,
  "space_group": "P-1",
  "magnetic_moment_mub_per_cell": 0.000
}



8.
{
  "formula": "SrMnCo",
  "functional": "PBE-GGA",
  "state": "relaxed",
  "lattice": [[-7.8908, -3.9525, -2.4528], [3.4129, -3.2635, 2.1632], [-0.1286, 2.0896, 3.3484]],
  "species": ["Sr", "Mn", "Co", "Mn", "Co", "Sr"],
  "fractional_positions": [[0.5170, 0.5998, 0.0985], [0.7718, 0.3298, 0.8517], [0.8850, 0.1415, 0.4639], [0.1019, 0.3135, 0.1797], [0.8311, 0.8847, 0.9102], [0.1048, 0.8082, 0.6815]],
  "rho_kg_m3": 4411,
  "de_polymorph_ev_per_atom": 0.144,
  "e_form_ev_per_fu": 1.195,
  "space_group": "P1",
  "magnetic_moment_mub_per_cell": 10.220
}



9.
{
  "formula": "Sr2MnCo",
  "functional": "PBE-GGA",
  "state": "relaxed",
  "lattice": [[5.1767, 0.0000, 0.0000], [2.5884, 4.4832, 0.0000], [2.5884, 1.4944, 4.2268]],
  "species": ["Co", "Sr", "Mn", "Sr"],
  "fractional_positions": [[0.5000, 0.5000, 0.5000], [0.2500, 0.2500, 0.2500], [0.7500, 0.7500, 0.7500], [0.0000, 0.0000, 0.0000]],
  "rho_kg_m3": 4894,
  "de_polymorph_ev_per_atom": 0.532,
  "e_form_ev_per_fu": 3.080,
  "space_group": "F-43m",
  "magnetic_moment_mub_per_cell": 4.882
}



10.
{
  "formula": "Sr2MnCo",
  "functional": "PBE-GGA",
  "state": "relaxed",
  "lattice": [[11.0313, 0.0000, 0.0000], [0.0000, 11.0313, 0.0000], [5.5156, 5.5156, 2.2675]],
  "species": ["Co", "Sr", "Sr", "Mn", "Sr", "Sr", "Mn", "Co"],
  "fractional_positions": [[0.0000, 0.0000, 0.0000], [0.9485, 0.6250, 0.2500], [0.8015, 0.1250, 0.2500], [0.2500, 0.7500, 0.5000], [0.3750, 0.1985, 0.7500], [0.8750, 0.0515, 0.7500], [0.5000, 0.5000, 0.0000], [0.7500, 0.2500, 0.5000]],
  "rho_kg_m3": 3480,
  "de_polymorph_ev_per_atom": 0.288,
  "e_form_ev_per_fu": 2.105,
  "space_group": "I-42d",
  "magnetic_moment_mub_per_cell": 8.186
}



11.
{
  "formula": "SrMnCo",
  "functional": "PBE-GGA",
  "state": "relaxed",
  "lattice": [[4.5769, -2.6425, 0.0000], [0.0000, 5.2850, 0.0000], [0.0000, 0.0000, 8.2704]],
  "species": ["Sr", "Co", "Sr", "Mn", "Co", "Mn"],
  "fractional_positions": [[0.6667, 0.3333, 0.7500], [0.0000, 0.0000, 0.0000], [0.3333, 0.6667, 0.2500], [0.0000, 0.0000, 0.2500], [0.0000, 0.0000, 0.5000], [0.0000, 0.0000, 0.7500]],
  "rho_kg_m3": 3345,
  "de_polymorph_ev_per_atom": 1.026,
  "e_form_ev_per_fu": 3.841,
  "space_group": "P6_3/mmc",
  "magnetic_moment_mub_per_cell": 7.115
}



12.
{
  "formula": "Sr2MnCo",
  "functional": "PBE-GGA",
  "state": "relaxed",
  "lattice": [[3.7759, 0.0000, 0.0000], [0.0000, 3.7759, 0.0000], [0.0000, 0.0000, 7.5312]],
  "species": ["Co", "Sr", "Mn", "Sr"],
  "fractional_positions": [[0.5000, 0.5000, 0.2500], [0.0000, 0.0000, 0.0203], [0.5000, 0.5000, 0.7500], [0.0000, 0.0000, 0.4797]],
  "rho_kg_m3": 4471,
  "de_polymorph_ev_per_atom": 0.424,
  "e_form_ev_per_fu": 2.649,
  "space_group": "P4/mmm",
  "magnetic_moment_mub_per_cell": 4.729
}



13.
{
  "formula": "SrMnCo",
  "functional": "PBE-GGA",
  "state": "relaxed",
  "lattice": [[9.6506, 0.0124, 0.0091], [-0.0189, 3.6988, -0.0278], [0.5830, -1.8125, 3.9786]],
  "species": ["Mn", "Sr", "Co", "Sr", "Co", "Mn"],
  "fractional_positions": [[0.9502, 0.1222, 0.0649], [0.6714, 0.5901, 0.0057], [0.8633, 0.8622, 0.5422], [0.2757, 0.9436, 0.6978], [0.0020, 0.4117, 0.6391], [0.0569, 0.6752, 0.1710]],
  "rho_kg_m3": 4729,
  "de_polymorph_ev_per_atom": 0.151,
  "e_form_ev_per_fu": 1.216,
  "space_group": "P1",
  "magnetic_moment_mub_per_cell": 1.630
}



14.
{
  "formula": "SrMnCo",
  "functional": "PBE-GGA",
  "state": "relaxed",
  "lattice": [[-5.0776, 6.4329, 1.3378], [0.8751, -0.1313, 3.9435], [3.2284, 3.2417, -0.6064]],
  "species": ["Co", "Co", "Sr", "Mn", "Mn", "Sr"],
  "fractional_positions": [[0.9572, 0.2844, 0.4624], [0.9821, 0.7844, 0.1928], [0.2724, 0.2846, 0.1115], [0.0629, 0.7845, 0.6925], [0.8776, 0.2843, 0.9622], [0.6672, 0.7844, 0.5447]],
  "rho_kg_m3": 4340,
  "de_polymorph_ev_per_atom": 0.024,
  "e_form_ev_per_fu": 0.836,
  "space_group": "P2_1/m",
  "magnetic_moment_mub_per_cell": 8.268
}



15.
{
  "formula": "SrMn2Co2",
  "functional": "PBE-GGA",
  "state": "relaxed",
  "lattice": [[4.1435, 0.0000, 0.0000], [0.0000, 4.1435, 0.0000], [2.0718, 2.0718, 4.8934]],
  "species": ["Mn", "Co", "Mn", "Sr", "Co"],
  "fractional_positions": [[0.6383, 0.6383, 0.7233], [0.2500, 0.7500, 0.5000], [0.3617, 0.3617, 0.2767], [0.0000, 0.0000, 0.0000], [0.7500, 0.2500, 0.5000]],
  "rho_kg_m3": 6233,
  "de_polymorph_ev_per_atom": 0.006,
  "e_form_ev_per_fu": 2.269,
  "space_group": "I4/mmm",
  "magnetic_moment_mub_per_cell": 6.384
}



16.
{
  "formula": "SrMnCo",
  "functional": "PBE-GGA",
  "state": "relaxed",
  "lattice": [[4.0655, 0.0000, 0.0000], [-2.0327, 3.5208, 0.0000], [0.0000, 0.0000, 4.6916]],
  "species": ["Co", "Mn", "Sr"],
  "fractional_positions": [[0.0000, 0.0000, 0.1667], [0.6667, 0.3333, 0.1666], [0.3333, 0.6667, 0.6667]],
  "rho_kg_m3": 4982,
  "de_polymorph_ev_per_atom": 0.216,
  "e_form_ev_per_fu": 1.411,
  "space_group": "P-6m2",
  "magnetic_moment_mub_per_cell": 4.164
}



17.
{
  "formula": "SrMn4Co",
  "functional": "PBE-GGA",
  "state": "relaxed",
  "lattice": [[-2.4200, -4.2316, 2.2276], [-4.5852, -1.8574, -2.0620], [-0.0723, -4.7042, -2.5672]],
  "species": ["Mn", "Mn", "Co", "Mn", "Sr", "Mn"],
  "fractional_positions": [[0.3719, 0.3719, 0.3719], [0.3719, 0.8843, 0.3719], [0.0000, 0.0000, 0.0000], [0.3719, 0.3719, 0.8843], [0.7500, 0.7500, 0.7500], [0.8843, 0.3719, 0.3719]],
  "rho_kg_m3": 5587,
  "e_form_ev_per_fu": 4.585,
  "space_group": "F-43m",
  "magnetic_moment_mub_per_cell": 16.538
}



18.
{
  "formula": "SrMnCo",
  "functional": "PBE-GGA",
  "state": "relaxed",
  "lattice": [[-1.6802, -9.9391, -4.7252], [2.8449, -0.9079, 2.4600], [-0.7670, -2.1043, 3.1531]],
  "species": ["Sr", "Co", "Co", "Mn", "Mn", "Sr"],
  "fractional_positions": [[0.6601, 0.8966, 0.4605], [0.0290, 0.2591, 0.0988], [0.0829, 0.6455, 0.3791], [0.9023, 0.8014, 0.8897], [0.8702, 0.4365, 0.5878], [0.2750, 0.1674, 0.5242]],
  "rho_kg_m3": 4935,
  "de_polymorph_ev_per_atom": 0.129,
  "e_form_ev_per_fu": 1.151,
  "space_group": "P1",
  "magnetic_moment_mub_per_cell": 3.147
}



19.
{
  "formula": "SrMnCo",
  "functional": "PBE-GGA",
  "state": "relaxed",
  "lattice": [[-5.9433, 0.2045, -0.0164], [-1.5205, -3.6646, 0.8913], [0.0288, 1.2803, 5.3129]],
  "species": ["Co", "Mn", "Sr", "Sr", "Co", "Mn"],
  "fractional_positions": [[0.8805, 0.8524, 0.4901], [0.9699, 0.3075, 0.7401], [0.5478, 0.0187, 0.9899], [0.3920, 0.5966, 0.4899], [0.0593, 0.7628, 0.9901], [0.9699, 0.3076, 0.2401]],
  "rho_kg_m3": 5388,
  "de_polymorph_ev_per_atom": 0.088,
  "e_form_ev_per_fu": 1.027,
  "space_group": "Cmcm",
  "magnetic_moment_mub_per_cell": 8.610
}



20.
{
  "formula": "SrMnCo",
  "functional": "PBE-GGA",
  "state": "relaxed",
  "lattice": [[8.4679, 0.0001, -0.0056], [0.0001, 3.9229, -0.0001], [0.2093, -0.0001, 4.0880]],
  "species": ["Sr", "Mn", "Co", "Co", "Mn", "Sr"],
  "fractional_positions": [[0.2768, 0.2243, 0.4205], [0.9689, 0.2242, 0.8551], [0.8522, 0.2243, 0.3376], [0.9726, 0.7242, 0.4578], [0.0809, 0.7242, 0.9763], [0.6680, 0.7243, 0.8929]],
  "rho_kg_m3": 4928,
  "de_polymorph_ev_per_atom": 0.098,
  "e_form_ev_per_fu": 1.058,
  "space_group": "Pm",
  "magnetic_moment_mub_per_cell": 0.606
}